K2NaAuF: relaxed, GGA-PBE.

Computed properties:
Total DFT energy (no corrections) = -2.886 eV per atom
Calculated volume = 137 Å³/cell
Uncorrected formation energy = -1.153 eV per atom
Space-group type = No. 123

Cell: 5.392 5.392 4.701 Å, 90.00 90.00 90.00°
Element x y z (fractional)
Au: 0.500 0.500 0.500
K: 0.500 0.000 0.000
K: 0.000 0.500 0.000
F: 0.000 0.000 0.000
Na: 0.000 0.000 0.500